YScIO2 PBE optimized geometry; ΔE_f (raw) = -1.64 eV/atom; E = -6.496 eV per atom; size of the total moment = 0.00 μB per formula unit; excess energy over the best structure of this formula in the dataset = 0 kJ/mol of formula units
1.0
-0.500 -4.129 -0.520
3.967 -0.315 -1.318
1.672 -0.862 5.236
O Y Sc I
2 1 1 1
Direct
0.000 0.500 0.000
0.500 0.000 0.000
0.500 0.500 0.500
0.000 0.000 0.000
0.000 0.000 0.500

YScIO2 PBE optimized geometry; ΔE_f (raw) = -1.41 eV/atom; E = -6.260 eV per atom; size of the total moment = 0.82 μB per formula unit; excess energy over the best structure of this formula in the dataset = 114 kJ/mol of formula units
1.0
-2.851 -2.569 -2.094
0.788 -3.209 2.863
-4.348 2.012 3.452
I O Sc Y
1 2 1 1
Direct
0.000 0.000 0.500
0.000 0.500 0.000
0.500 0.000 0.000
0.500 0.500 0.500
0.000 0.000 0.000

ZrScI2O PBE optimized geometry; ΔE_f (raw) = -0.89 eV/atom; E = -5.474 eV per atom; size of the total moment = 0.76 μB per formula unit; excess energy over the best structure of this formula in the dataset = 9 kJ/mol of formula units
1.0
-0.593 -4.081 4.268
1.768 -4.215 -3.785
3.786 0.600 1.100
Zr O Sc I
1 1 1 2
Direct
0.000 0.000 0.000
0.000 0.000 0.500
0.500 0.500 0.500
0.000 0.500 0.000
0.500 0.000 0.000

ZrScI2O PBE optimized geometry; ΔE_f (raw) = -0.90 eV/atom; E = -5.492 eV per atom; size of the total moment = 2.05 μB per formula unit; excess energy over the best structure of this formula in the dataset = 0 kJ/mol of formula units
1.0
-3.157 -3.949 3.034
4.455 -0.634 3.811
-1.439 2.800 2.148
Sc O I Zr
1 1 2 1
Direct
0.000 0.000 0.000
0.000 0.000 0.500
0.500 0.000 0.000
0.000 0.500 0.000
0.500 0.500 0.500

SeI2O2 PBE optimized geometry; ΔE_f (raw) = 0.31 eV/atom; E = -2.988 eV per atom; size of the total moment = 0.00 μB per formula unit; excess energy over the best structure of this formula in the dataset = 69 kJ/mol of formula units
1.0
-0.632 -3.658 1.848
1.763 -1.931 -3.219
6.567 0.523 3.283
Se O I
1 2 2
Direct
0.000 0.000 0.000
0.500 0.000 0.000
0.000 0.500 0.000
0.500 0.500 0.500
0.000 0.000 0.500

SeIO2 PBE optimized geometry; ΔE_f (raw) = 0.13 eV/atom; E = -3.607 eV per atom; size of the total moment = 0.00 μB per formula unit; excess energy over the best structure of this formula in the dataset = 31 kJ/mol of formula units
1.0
1.037 -6.385 0.125
2.914 -5.006 2.883
-0.635 -5.575 3.221
I O Se
1 2 1
Direct
0.000 0.000 0.000
0.120 0.120 0.120
0.880 0.880 0.880
0.500 0.500 0.500

SeI2O2 PBE optimized geometry; ΔE_f (raw) = 0.58 eV/atom; E = -2.715 eV per atom; size of the total moment = 0.00 μB per formula unit; excess energy over the best structure of this formula in the dataset = 201 kJ/mol of formula units
1.0
8.681 0.000 0.000
0.000 8.681 0.000
0.000 0.000 2.879
O I Se
4 4 2
Direct
0.340 0.160 0.500
0.160 0.660 0.500
0.660 0.840 0.500
0.840 0.340 0.500
0.290 0.790 0.000
0.710 0.210 0.000
0.210 0.290 0.000
0.790 0.710 0.000
0.000 0.000 0.000
0.500 0.500 0.000

SeI2O2 PBE optimized geometry; ΔE_f (raw) = 0.68 eV/atom; E = -2.617 eV per atom; size of the total moment = 0.00 μB per formula unit; excess energy over the best structure of this formula in the dataset = 248 kJ/mol of formula units
1.0
-2.090 -3.272 0.212
2.605 -1.504 2.464
-2.935 -0.036 6.150
Se I O
1 2 2
Direct
0.000 0.000 0.000
0.363 0.363 0.274
0.637 0.637 0.726
0.750 0.250 0.500
0.250 0.750 0.500